1.
! Li4AgSb, optimized geometry, DFT PBE-GGA; values from VASP
! symmetry = F-43m
! total magnetic moment = 0.03 μB/atom
! total DFT energy (no corrections) = -15.56 eV per cell
! ΔE_f (raw) = -0.156 eV/atom
&SYSTEM
  ibrav = 0, nat = 6, ntyp = 3
/
ATOMIC_SPECIES
Li 6.94 Li.upf
Ag 107.87 Ag.upf
Sb 121.76 Sb.upf
CELL_PARAMETERS angstrom
0.000 3.728 3.728
3.728 0.000 3.728
3.728 3.728 0.000
ATOMIC_POSITIONS angstrom
Li 2.798 2.798 2.798
Li 4.658 2.798 4.658
Li 2.798 4.658 4.658
Li 4.658 4.658 2.798
Ag 0.000 0.000 0.000
Sb 5.592 5.592 5.592


2.
! LiAg2Sb, optimized geometry, DFT PBE-GGA; values from VASP
! symmetry = P4/mmm
! total magnetic moment = 0.00 μB/atom
! total DFT energy (no corrections) = -12.54 eV per cell
! ΔE_f (raw) = -0.199 eV/atom
&SYSTEM
  ibrav = 0, nat = 4, ntyp = 3
/
ATOMIC_SPECIES
Li 6.94 Li.upf
Sb 121.76 Sb.upf
Ag 107.87 Ag.upf
CELL_PARAMETERS angstrom
-2.918 2.621 1.655
-2.819 -3.192 0.083
1.270 -1.021 3.856
ATOMIC_POSITIONS angstrom
Li -0.824 0.800 2.755
Sb -0.775 -2.106 1.970
Ag -2.869 -0.286 0.869
Ag 0.000 0.000 0.000


3.
! LiAgSb2, optimized geometry, DFT PBE-GGA; values from VASP
! symmetry = P4mm
! total magnetic moment = 0.00 μB/atom
! total DFT energy (no corrections) = -13.40 eV per cell
! ΔE_f (raw) = -0.098 eV/atom
&SYSTEM
  ibrav = 0, nat = 4, ntyp = 3
/
ATOMIC_SPECIES
Sb 121.76 Sb.upf
Li 6.94 Li.upf
Ag 107.87 Ag.upf
CELL_PARAMETERS angstrom
3.304 0.000 0.000
0.000 3.304 0.000
0.000 0.000 8.279
ATOMIC_POSITIONS angstrom
Sb 0.000 0.000 7.600
Sb 1.652 1.652 2.653
Li 1.652 1.652 5.906
Ag 0.000 0.000 4.538